Material: TaVO4
Method: DFT, GGA+U
State: relaxed

Computed properties:
- spin magnetization (μB per cell) = 4.0
- uncorrected energy (eV/atom) = -9.08

Unit cell a=5.654 b=5.654 c=5.654 alpha=72.70 beta=107.30 gamma=66.09
Each line ends with the local moment (μB).
Element x y z (fractional)
V: 0.248 0.252 0.500  1.91
V: 0.998 0.002 0.000  1.91
O: 0.989 0.311 0.700  -0.02
O: 0.059 0.743 0.802  -0.01
O: 0.455 0.743 0.198  -0.01
O: 0.939 0.261 0.200  -0.02
O: 0.989 0.710 0.300  -0.02
O: 0.507 0.795 0.698  -0.01
O: 0.507 0.191 0.302  -0.01
O: 0.540 0.261 0.800  -0.02
Ta: 0.509 0.491 0.000  0.03
Ta: 0.759 0.741 0.500  0.03